LiBPt3 at its PBEsol-relaxed geometry. Source: the Alexandria database, functional meta-GGA SCAN.

Results
Space-group type: Pm-3m, No. 221
Energy of formation from the pure elements (meV/atom): -440
Polymorph energy (0 for the lowest one) (eV/atom): 0.171
VASP energy (Ry/atom): -3.2722

```
LiBPt3
1.0
4.114 0.000 0.000
0.000 4.114 0.000
0.000 0.000 4.114
Pt B Li
3 1 1
Direct
0.000 0.000 0.500 Pt
0.000 0.500 0.000 Pt
0.500 0.000 0.000 Pt
0.000 0.000 0.000 B
0.500 0.500 0.500 Li
```

LiBPt3 at its PBEsol-relaxed geometry. Source: the Alexandria database, functional meta-GGA SCAN.

Results
Space-group type: P-62m, No. 189
Energy of formation from the pure elements (meV/atom): -611
Polymorph energy (0 for the lowest one) (eV/atom): 0.000
VASP energy (Ry/atom): -3.2847

```
LiBPt3
1.0
2.768 0.000 0.000
0.000 9.222 0.000
0.000 -4.611 7.986
B Li Pt
3 3 9
Direct
0.000 0.333 0.667 B
0.500 0.000 0.000 B
0.000 0.667 0.333 B
0.000 0.362 0.000 Li
0.000 0.638 0.638 Li
0.000 0.000 0.362 Li
0.500 0.483 0.318 Pt
0.000 0.178 0.178 Pt
0.500 0.165 0.682 Pt
0.500 0.318 0.483 Pt
0.500 0.682 0.165 Pt
0.000 0.822 0.000 Pt
0.500 0.835 0.517 Pt
0.500 0.517 0.835 Pt
0.000 0.000 0.822 Pt
```

Li2BPt2 at its PBEsol-relaxed geometry. Source: the Alexandria database, functional meta-GGA SCAN.

Results
Space-group type: P4/mbm, No. 127
Energy of formation from the pure elements (meV/atom): -714
VASP energy (Ry/atom): -2.2956

```
Li2BPt2
1.0
4.347 0.000 0.000
0.000 5.557 0.000
0.000 0.000 5.557
Pt Li B
4 4 2
Direct
0.000 0.665 0.165 Pt
0.000 0.835 0.665 Pt
0.000 0.335 0.835 Pt
0.000 0.165 0.335 Pt
0.500 0.662 0.838 Li
0.500 0.338 0.162 Li
0.500 0.838 0.338 Li
0.500 0.162 0.662 Li
0.000 0.500 0.500 B
0.000 0.000 0.000 B
```

LiBPt2S at its PBEsol-relaxed geometry. Source: the Alexandria database, functional meta-GGA SCAN.

Results
Space-group type: P4/mmm, No. 123
ΔE_f (raw) (eV per atom): -0.030
VASP energy (Ry/atom): -2.3517

```
LiBPt2S
1.0
-1.664 -2.666 2.524
3.665 -1.357 0.982
0.221 2.980 3.293
Pt S B Li
2 1 1 1
Direct
0.500 0.000 0.000 Pt
0.000 0.500 0.000 Pt
0.500 0.500 0.500 S
0.000 0.000 0.000 B
0.000 0.000 0.500 Li
```

Li2TcBPt at its PBEsol-relaxed geometry. Source: the Alexandria database, functional meta-GGA SCAN.

Results
Space-group type: P4/mmm, No. 123
Energy of formation from the pure elements (meV/atom): 1763
VASP energy (Ry/atom): -1.5971

```
Li2TcBPt
1.0
4.609 0.000 0.000
0.000 4.644 0.000
0.000 0.000 4.644
Li B Tc Pt
2 1 1 1
Direct
0.000 0.000 0.500 Li
0.000 0.500 0.000 Li
0.500 0.500 0.500 B
0.000 0.000 0.000 Tc
0.500 0.000 0.000 Pt
```

LiB2Rh at its PBEsol-relaxed geometry. Source: the Alexandria database, functional meta-GGA SCAN.

Results
Space-group type: Fm-3m, No. 225
Energy of formation from the pure elements (meV/atom): 131
VASP energy (Ry/atom): -0.9279

```
LiB2Rh
1.0
-0.271 -3.495 -1.041
0.210 -2.670 2.489
-2.980 -1.937 0.859
Rh B Li
1 2 1
Direct
0.500 0.500 0.500 Rh
0.750 0.750 0.750 B
0.250 0.250 0.250 B
0.000 0.000 0.000 Li
```

SrLiB2Rh at its PBEsol-relaxed geometry. Source: the Alexandria database, functional meta-GGA SCAN.

Results
Space-group type: P4/mmm, No. 123
Energy of formation from the pure elements (meV/atom): 590
VASP energy (Ry/atom): -1.0341

```
SrLiB2Rh
1.0
4.161 0.000 0.000
0.000 4.161 0.000
0.000 0.000 5.382
B Sr Rh Li
2 1 1 1
Direct
0.000 0.500 0.000 B
0.500 0.000 0.000 B
0.000 0.000 0.500 Sr
0.000 0.000 0.000 Rh
0.500 0.500 0.500 Li
```

Li5B7S13 at its PBEsol-relaxed geometry. Source: the Alexandria database, functional meta-GGA SCAN.

Results
Space-group type: Cc, No. 9
ΔE_f (raw) (eV per atom): -0.872
VASP energy (Ry/atom): -0.6201

```
Li5B7S13
1.0
12.174 0.036 -0.064
-6.043 12.486 0.075
-0.087 -6.065 10.676
S B Li
52 28 20
Direct
0.637 0.557 0.835 S
0.447 0.150 0.632 S
0.485 0.360 0.563 S
0.036 0.551 0.780 S
0.148 0.444 0.041 S
0.449 0.848 0.595 S
0.204 0.556 0.597 S
0.278 0.949 0.364 S
0.354 0.444 0.180 S
0.896 0.841 0.249 S
0.867 0.242 0.306 S
0.182 0.949 0.588 S
0.399 0.648 0.098 S
0.251 0.352 0.450 S
0.286 0.654 0.331 S
0.100 0.152 0.747 S
0.855 0.558 0.961 S
0.860 0.642 0.313 S
0.664 0.847 0.137 S
0.941 0.749 0.868 S
0.133 0.346 0.678 S
0.317 0.153 0.289 S
0.042 0.948 0.794 S
0.984 0.449 0.229 S
0.755 0.653 0.552 S
0.797 0.442 0.403 S
0.369 0.354 0.797 S
0.769 0.041 0.016 S
0.733 0.051 0.640 S
0.692 0.251 0.118 S
0.409 0.954 0.155 S
0.880 0.249 0.939 S
0.798 0.850 0.483 S
0.594 0.052 0.845 S
0.829 0.051 0.415 S
0.581 0.443 0.278 S
0.683 0.846 0.712 S
0.205 0.146 0.515 S
0.718 0.358 0.672 S
0.625 0.640 0.203 S
0.057 0.238 0.126 S
0.515 0.646 0.443 S
0.319 0.762 0.888 S
0.125 0.758 0.063 S
0.410 0.556 0.735 S
0.337 0.154 0.865 S
0.559 0.854 0.369 S
0.602 0.347 0.899 S
0.955 0.046 0.201 S
0.555 0.159 0.408 S
0.131 0.751 0.691 S
0.229 0.959 0.975 S
0.090 0.849 0.832 B
0.699 0.451 0.834 B
0.015 0.340 0.088 B
0.685 0.750 0.545 B
0.727 0.949 0.475 B
0.992 0.655 0.912 B
0.261 0.856 0.018 B
0.385 0.058 0.309 B
0.619 0.945 0.694 B
0.250 0.448 0.619 B
0.905 0.144 0.162 B
0.565 0.748 0.204 B
0.454 0.750 0.431 B
0.175 0.660 0.748 B
0.748 0.549 0.383 B
0.828 0.942 0.251 B
0.435 0.250 0.795 B
0.791 0.742 0.314 B
0.741 0.151 0.984 B
0.836 0.345 0.257 B
0.316 0.252 0.456 B
0.173 0.055 0.748 B
0.474 0.454 0.730 B
0.549 0.258 0.572 B
0.279 0.051 0.526 B
0.204 0.250 0.681 B
0.302 0.552 0.171 B
0.521 0.546 0.276 B
0.792 0.741 0.026 Li
0.551 0.259 0.285 Li
0.886 0.056 0.793 Li
0.764 0.571 0.688 Li
0.065 0.027 0.025 Li
0.303 0.774 0.214 Li
0.190 0.441 0.323 Li
0.115 0.936 0.230 Li
0.445 0.705 0.666 Li
0.693 0.429 0.117 Li
0.029 0.226 0.439 Li
0.694 0.221 0.770 Li
0.974 0.779 0.550 Li
0.679 0.064 0.294 Li
0.330 0.944 0.736 Li
0.240 0.295 0.961 Li
0.966 0.485 0.048 Li
0.249 0.559 0.882 Li
0.538 0.973 0.998 Li
0.981 0.515 0.563 Li
```